# 1
The following is a DFT calculation (GGA-PBE) of a relaxed structure of La2TbY6.

Values from the calculation:
The calculation puts the formation energy at 0.067 eV/atom.

a b c (Å): 10.537 10.537 10.537
angles (deg): 123.76 70.43 141.20
Positions (direct):
La (0.083, 0.250, 0.833)
La (0.417, 0.250, 0.167)
La (0.583, 0.750, 0.833)
La (0.917, 0.750, 0.167)
Tb (0.250, 0.750, 0.500)
Tb (0.750, 0.250, 0.500)
Y (0.002, 0.831, 0.832)
Y (0.164, 0.334, 0.498)
Y (0.167, 0.665, 0.832)
Y (0.333, 0.165, 0.499)
Y (0.336, 0.834, 0.171)
Y (0.498, 0.331, 0.829)
Y (0.502, 0.669, 0.171)
Y (0.664, 0.166, 0.829)
Y (0.667, 0.835, 0.501)
Y (0.833, 0.335, 0.168)
Y (0.836, 0.666, 0.502)
Y (0.998, 0.169, 0.168)

=====

# 2
The following is a DFT calculation (GGA-PBE) of a relaxed structure of NpZn6Au3.

Values from the calculation:
The calculation puts the formation energy at -0.075 eV/atom.

a b c (Å): 9.293 3.050 12.810
angles (deg): 90.00 105.56 90.00
Positions (direct):
Np (0.029, 0.250, 0.257)
Np (0.971, 0.750, 0.743)
Zn (0.105, 0.750, 0.476)
Zn (0.199, 0.250, 0.655)
Zn (0.199, 0.250, 0.920)
Zn (0.346, 0.250, 0.218)
Zn (0.417, 0.750, 0.053)
Zn (0.417, 0.750, 0.614)
Zn (0.583, 0.250, 0.386)
Zn (0.583, 0.250, 0.947)
Zn (0.654, 0.750, 0.782)
Zn (0.801, 0.750, 0.080)
Zn (0.801, 0.750, 0.345)
Zn (0.895, 0.250, 0.524)
Au (0.128, 0.750, 0.077)
Au (0.326, 0.250, 0.429)
Au (0.369, 0.750, 0.817)
Au (0.631, 0.250, 0.183)
Au (0.674, 0.750, 0.571)
Au (0.872, 0.250, 0.923)

=====

# 3
The following is a DFT calculation (GGA-PBE) of a relaxed structure of LaTbTm2Tl4.

Values from the calculation:
The calculation puts the formation energy at -0.336 eV/atom.

a b c (Å): 9.418 9.418 9.418
angles (deg): 33.37 33.37 33.37
Positions (direct):
La (0.000, 0.000, 0.000)
Tb (0.500, 0.500, 0.500)
Tm (0.249, 0.249, 0.249)
Tm (0.751, 0.751, 0.751)
Tl (0.127, 0.127, 0.127)
Tl (0.378, 0.378, 0.378)
Tl (0.622, 0.622, 0.622)
Tl (0.873, 0.873, 0.873)

=====

# 4
The following is a DFT calculation (GGA-PBE) of a relaxed structure of RbNaIrSe3.

Values from the calculation:
The calculation puts the uncorrected formation energy at -3.301 eV per formula unit.

a b c (Å): 7.842 7.842 7.167
angles (deg): 90.00 90.00 124.21
Positions (direct):
Rb (0.232, 0.768, 0.750)
Rb (0.768, 0.232, 0.250)
Na (0.421, 0.579, 0.250)
Na (0.579, 0.421, 0.750)
Ir (0.045, 0.955, 0.250)
Ir (0.955, 0.045, 0.750)
Se (0.214, 0.214, 0.000)
Se (0.214, 0.214, 0.500)
Se (0.219, 0.781, 0.250)
Se (0.781, 0.219, 0.750)
Se (0.786, 0.786, 0.000)
Se (0.786, 0.786, 0.500)

=====

# 5
The following is a DFT calculation (GGA-PBE) of a relaxed structure of ErGa9Rh2.

Values from the calculation:
The calculation puts the formation energy at -0.338 eV/atom.

a b c (Å): 7.596 8.270 8.272
angles (deg): 77.77 63.00 63.02
Positions (direct):
Er (0.137, 0.249, 0.249)
Er (0.863, 0.751, 0.751)
Ga (0.062, 0.074, 0.664)
Ga (0.064, 0.664, 0.075)
Ga (0.226, 0.335, 0.576)
Ga (0.227, 0.577, 0.336)
Ga (0.301, 0.425, 0.835)
Ga (0.303, 0.835, 0.424)
Ga (0.358, 0.078, 0.836)
Ga (0.361, 0.836, 0.077)
Ga (0.376, 0.751, 0.751)
Ga (0.624, 0.249, 0.249)
Ga (0.639, 0.164, 0.923)
Ga (0.642, 0.922, 0.164)
Ga (0.697, 0.165, 0.576)
Ga (0.699, 0.575, 0.165)
Ga (0.773, 0.423, 0.664)
Ga (0.774, 0.665, 0.424)
Ga (0.936, 0.336, 0.925)
Ga (0.938, 0.926, 0.336)
Rh (0.000, 0.000, 0.000)
Rh (0.500, 0.000, 0.500)
Rh (0.500, 0.500, 0.000)
Rh (0.500, 0.500, 0.500)

=====

# 6
The following is a DFT calculation (GGA-PBE) of a relaxed structure of Zr4MnNi.

Values from the calculation:
The calculation puts the formation energy at 0.640 eV/atom.

a b c (Å): 5.632 5.632 5.632
angles (deg): 60.00 60.00 60.00
Positions (direct):
Zr (0.125, 0.125, 0.125)
Zr (0.125, 0.125, 0.626)
Zr (0.125, 0.626, 0.125)
Zr (0.626, 0.125, 0.125)
Mn (0.750, 0.750, 0.750)
Ni (0.500, 0.500, 0.500)

=====

# 7
The following is a DFT calculation (GGA-PBE) of a relaxed structure of In2BiTeO8.

Values from the calculation:
The calculation puts the uncorrected formation energy at -14.609 eV per formula unit.

a b c (Å): 4.920 4.920 6.769
angles (deg): 90.00 90.00 91.84
Positions (direct):
In (0.000, 0.000, 0.241)
In (0.000, 0.000, 0.759)
Bi (0.500, 0.500, 0.500)
Te (0.500, 0.500, 0.000)
O (0.184, 0.184, 0.500)
O (0.212, 0.212, 0.000)
O (0.314, 0.686, 0.218)
O (0.314, 0.686, 0.782)
O (0.686, 0.314, 0.218)
O (0.686, 0.314, 0.782)
O (0.788, 0.788, 0.000)
O (0.816, 0.816, 0.500)

=====

# 8
The following is a DFT calculation (GGA-PBE) of a relaxed structure of EuCoSe2.

Values from the calculation:
The calculation puts the uncorrected formation energy at -1.572 eV per formula unit.

a b c (Å): 8.565 8.565 8.565
angles (deg): 24.79 24.79 24.79
Positions (direct):
Eu (0.000, 0.000, 0.000)
Co (0.500, 0.500, 0.500)
Se (0.119, 0.119, 0.119)
Se (0.881, 0.881, 0.881)

=====

Number 1: magnetic moment 0.0 Bohr magnetons per cell. Number 2: magnetic moment 9.0 Bohr magnetons per cell. Number 3: magnetic moment 0.0 Bohr magnetons per cell. Number 4: magnetic moment 0.0 Bohr magnetons per cell. Number 5: magnetic moment 0.0 Bohr magnetons per cell. Number 6: magnetic moment 3.7 Bohr magnetons per cell. Number 7: magnetic moment 0.0 Bohr magnetons per cell. Number 8: magnetic moment 7.8 Bohr magnetons per cell.